1.
The following is a DFT calculation (PBE) of a relaxed structure of Ni2PtW.

It has space group Pmm2 (No. 25), with a = 2.717 Å, b = 3.764 Å, c = 5.242 Å, α = 90.00°, β = 90.00° and γ = 90.00°. The asymmetric unit holds Ni at (0.000, 0.000, 0.000), Ni at (0.500, 0.500, 0.223), Pt at (0.000, 0.000, 0.489) and W at (0.500, 0.500, 0.761).

The total energy comes out at -31.08 eV/cell. The value obtained for the total magnetization is 0.000 μB per atom. The value obtained for the density of states at the Fermi level is 3.14 states/eV per cell. The relative energy among the computed polymorphs is 0.068 eV/atom. Its formation energy is -0.1307 eV per atom.

***

2.
The following is a DFT calculation (PBE) of a relaxed structure of NiPt2W.

It has space group P4/mmm (No. 123), with a = 2.764 Å, b = 2.764 Å, c = 7.634 Å, α = 90.00°, β = 90.00° and γ = 90.00°. The asymmetric unit holds Ni at (0.000, 0.000, 0.000), Pt at (0.500, 0.500, 0.242) and W at (0.000, 0.000, 0.500).

The total energy comes out at -31.60 eV/cell. The value obtained for the total magnetization is 0.195 μB per atom. The value obtained for the density of states at the Fermi level is 5.39 states/eV per cell. The relative energy among the computed polymorphs is 0.066 eV/atom. Its formation energy is -0.1972 eV per atom.

***

3.
The following is a DFT calculation (PBE) of a relaxed structure of Ni3PtW.

It has space group Pnma (No. 62), with a = 6.673 Å, b = 5.591 Å, c = 6.923 Å, α = 90.00°, β = 90.00° and γ = 90.00°. The asymmetric unit holds Ni at (0.122, 0.033, 0.132), Ni at (0.192, 0.750, 0.871), Pt at (0.000, 0.000, 0.500) and W at (0.170, 0.250, 0.814).

The total energy comes out at -145.47 eV/cell. The value obtained for the total magnetization is 0.000 μB per atom. The value obtained for the density of states at the Fermi level is 12.13 states/eV per cell. The relative energy among the computed polymorphs is 0.000 eV/atom. Its formation energy is -0.0058 eV per atom.

***

4.
The following is a DFT calculation (PBE) of a relaxed structure of Ni3PtW.

It has space group Pm-3m (No. 221), with a = 4.427 Å, b = 4.427 Å, c = 4.427 Å, α = 90.00°, β = 90.00° and γ = 90.00°. The asymmetric unit holds Ni at (0.000, 0.000, 0.500), Pt at (0.500, 0.500, 0.500) and W at (0.000, 0.000, 0.000).

The total energy comes out at -28.95 eV/cell. The value obtained for the total magnetization is 0.000 μB per atom. The value obtained for the density of states at the Fermi level is 4.63 states/eV per cell. The relative energy among the computed polymorphs is 1.483 eV/atom. Its formation energy is 1.4773 eV per atom.

***

5.
The following is a DFT calculation (PBE) of a relaxed structure of Ni3Pt2W2.

It has space group C2/m (No. 12), with a = 8.702 Å, b = 3.757 Å, c = 5.985 Å, α = 90.00°, β = 98.07° and γ = 90.00°. The asymmetric unit holds Ni at (0.000, 0.000, 0.000), Ni at (0.207, 0.500, 0.141), Pt at (0.074, 0.500, 0.727) and W at (0.147, 0.000, 0.407).

The total energy comes out at -111.86 eV/cell. The value obtained for the total magnetization is 0.000 μB per atom. The value obtained for the density of states at the Fermi level is 13.56 states/eV per cell. The relative energy among the computed polymorphs is 0.000 eV/atom. Its formation energy is -0.0855 eV per atom.

***

6.
The following is a DFT calculation (PBE) of a relaxed structure of NiPt2W.

It has space group P4mm (No. 99), with a = 2.752 Å, b = 2.752 Å, c = 7.692 Å, α = 90.00°, β = 90.00° and γ = 90.00°. The asymmetric unit holds Ni at (0.000, 0.000, 0.000), Pt at (0.000, 0.000, 0.517), Pt at (0.500, 0.500, 0.239) and W at (0.500, 0.500, 0.775).

The total energy comes out at -31.43 eV/cell. The value obtained for the total magnetization is 0.000 μB per atom. The value obtained for the density of states at the Fermi level is 3.53 states/eV per cell. The relative energy among the computed polymorphs is 0.109 eV/atom. Its formation energy is -0.1543 eV per atom.